No. 1
# PBE ThZrV4, optimized geometry
data_ThZrV4
_space_group_name_H-M_alt 'F -4 3 m'
_space_group_IT_number 216
_space_group_name_Hall 'F -4 2 3'
_cell_length_a 7.493
_cell_length_b 7.493
_cell_length_c 7.493
_cell_angle_alpha 90.00
_cell_angle_beta 90.00
_cell_angle_gamma 90.00
loop_
_atom_site_label
_atom_site_type_symbol
_atom_site_fract_x
_atom_site_fract_y
_atom_site_fract_z
Th1 Th 0.000 0.000 0.000
Zr1 Zr 0.250 0.250 0.250
V1 V 0.125 0.125 0.625
# Formation energy = 0.08 eV per atom

---

No. 2
# PBE NaNdAsAu, optimized geometry
data_NaNdAsAu
_space_group_name_H-M_alt 'F -4 3 m'
_space_group_IT_number 216
_space_group_name_Hall 'F -4 2 3'
_cell_length_a 7.229
_cell_length_b 7.229
_cell_length_c 7.229
_cell_angle_alpha 90.00
_cell_angle_beta 90.00
_cell_angle_gamma 90.00
loop_
_atom_site_label
_atom_site_type_symbol
_atom_site_fract_x
_atom_site_fract_y
_atom_site_fract_z
Na1 Na 0.000 0.000 0.000
Nd1 Nd 0.000 0.000 0.500
As1 As 0.250 0.250 0.250
Au1 Au 0.250 0.250 0.750
# Formation energy = -0.76 eV per atom

---

No. 3
# PBE ErAl4Cu2Ni, optimized geometry
data_ErAl4Cu2Ni
_space_group_name_H-M_alt 'R -3 m'
_space_group_IT_number 166
_space_group_name_Hall '-R 3 2"'
_cell_length_a 4.1439
_cell_length_b 4.1439
_cell_length_c 25.5985
_cell_angle_alpha 90.00
_cell_angle_beta 90.00
_cell_angle_gamma 120.00
loop_
_atom_site_label
_atom_site_type_symbol
_atom_site_fract_x
_atom_site_fract_y
_atom_site_fract_z
Er1 Er 0.0000 0.0000 0.0000
Al1 Al 0.0000 0.0000 0.1333
Al2 Al 0.0000 0.0000 0.4050
Cu1 Cu 0.0000 0.0000 0.2382
Ni1 Ni 0.0000 0.0000 0.5000
# Formation energy = -0.38 eV per atom

---

No. 4
# PBE VCoCu2, optimized geometry
data_VCoCu2
_space_group_name_H-M_alt 'F m -3 m'
_space_group_IT_number 225
_space_group_name_Hall '-F 4 2 3'
_cell_length_a 5.775
_cell_length_b 5.775
_cell_length_c 5.775
_cell_angle_alpha 90.00
_cell_angle_beta 90.00
_cell_angle_gamma 90.00
loop_
_atom_site_label
_atom_site_type_symbol
_atom_site_fract_x
_atom_site_fract_y
_atom_site_fract_z
V1 V 0.000 0.000 0.000
Co1 Co 0.000 0.000 0.500
Cu1 Cu 0.250 0.250 0.250
# Offset from the most stable computed form = 0 meV/atom
# Formation energy = 0.25 eV per atom